Model P:
A plane-wave DFT calculation with PBE-GGA was carried out for Zn3SiSn after structural relaxation.

a = 4.7805 Å, b = 4.7805 Å, c = 4.7805 Å
α = 90.00°, β = 90.00°, γ = 90.00°
Element x y z (fractional)
Zn 0.5000 0.0000 0.0000
Zn 0.0000 0.5000 0.0000
Zn 0.0000 0.0000 0.5000
Si 0.0000 0.0000 0.0000
Sn 0.5000 0.5000 0.5000

Output
The calculated volume is 21.850 A^3/atom. The calculation puts the total magnetic moment at 0.000 μB/f.u.

=====

Model Q:
A plane-wave DFT calculation with PBE-GGA was carried out for Zn3SiSn after structural relaxation.

a = 5.1143 Å, b = 5.1143 Å, c = 5.1143 Å
α = 90.00°, β = 90.00°, γ = 90.00°
Element x y z (fractional)
Zn 0.0000 0.5000 0.0000
Zn 0.5000 0.0000 0.0000
Zn 0.0000 0.0000 0.5000
Si 0.5000 0.5000 0.5000
Sn 0.0000 0.0000 0.0000

Output
The calculated volume is 26.753 A^3/atom. The calculation puts the total magnetic moment at 0.000 μB/f.u.

=====

model P has the most favorable energy; the next structure is 514 meV/atom above.

=====

Model P:
A plane-wave DFT calculation with PBE-GGA was carried out for ZnSi2Sn after structural relaxation.

a = 5.8630 Å, b = 5.8630 Å, c = 7.0869 Å
α = 65.57°, β = 65.57°, γ = 90.00°
Element x y z (fractional)
Si 0.1547 0.6250 0.2500
Si 0.3750 0.4047 0.7500
Si 0.5953 0.1250 0.2500
Si 0.8750 0.8453 0.7500
Sn 0.0000 0.0000 0.0000
Sn 0.7500 0.2500 0.5000
Zn 0.2500 0.7500 0.5000
Zn 0.5000 0.5000 0.0000

Output
The calculated volume is 24.697 A^3/atom. The calculation puts the total magnetic moment at 0.000 μB/f.u.

=====

Model Q:
A plane-wave DFT calculation with PBE-GGA was carried out for ZnSi2Sn after structural relaxation.

a = 4.7585 Å, b = 4.7585 Å, c = 4.7585 Å
α = 60.00°, β = 60.00°, γ = 60.00°
Element x y z (fractional)
Zn 0.0000 0.0000 0.0000
Sn 0.5000 0.5000 0.5000
Si 0.2500 0.2500 0.2500
Si 0.7500 0.7500 0.7500

Output
The calculated volume is 19.047 A^3/atom. The calculation puts the total magnetic moment at 0.000 μB/f.u.

=====

model P has the most favorable energy; the next structure is 96 meV/atom above.

=====

Model P:
A plane-wave DFT calculation with PBE-GGA was carried out for ZnSiSn2 after structural relaxation.

a = 4.9777 Å, b = 4.9777 Å, c = 4.9777 Å
α = 60.00°, β = 60.00°, γ = 60.00°
Element x y z (fractional)
Si 0.0000 0.0000 0.0000
Zn 0.5000 0.5000 0.5000
Sn 0.2500 0.2500 0.2500
Sn 0.7500 0.7500 0.7500

Output
The calculated volume is 21.803 A^3/atom. The calculation puts the total magnetic moment at 0.000 μB/f.u.

=====

Model Q:
A plane-wave DFT calculation with PBE-GGA was carried out for ZnSiSn2 after structural relaxation.

a = 6.3149 Å, b = 6.3149 Å, c = 7.2682 Å
α = 64.25°, β = 64.25°, γ = 90.00°
Element x y z (fractional)
Sn 0.8750 0.8672 0.7500
Sn 0.6172 0.1250 0.2500
Sn 0.1328 0.6250 0.2500
Sn 0.3750 0.3828 0.7500
Zn 0.7500 0.2500 0.5000
Zn 0.0000 0.0000 0.0000
Si 0.5000 0.5000 0.0000
Si 0.2500 0.7500 0.5000

Output
The calculated volume is 28.586 A^3/atom. The calculation puts the total magnetic moment at 0.000 μB/f.u.

=====

model Q has the most favorable energy; the next structure is 22 meV/atom above.

=====

Model P:
A plane-wave DFT calculation with PBE-GGA was carried out for SrSi5 after structural relaxation.

a = 5.3650 Å, b = 5.3650 Å, c = 5.3650 Å
α = 60.00°, β = 60.00°, γ = 60.00°
Element x y z (fractional)
Si 0.1397 0.6201 0.6201
Si 0.6201 0.6201 0.6201
Si 0.2500 0.2500 0.2500
Si 0.6201 0.6201 0.1397
Si 0.6201 0.1397 0.6201
Sr 0.0000 0.0000 0.0000

Output
The calculated volume is 18.199 A^3/atom. The calculation puts the total magnetic moment at 0.000 μB/f.u.

=====

Model Q:
A plane-wave DFT calculation with PBE-GGA was carried out for SrSi5 after structural relaxation.

a = 6.5024 Å, b = 6.5024 Å, c = 5.6409 Å
α = 73.62°, β = 73.62°, γ = 33.94°
Element x y z (fractional)
Si 0.6075 0.6075 0.3340
Si 0.9806 0.9806 0.5258
Si 0.9752 0.9752 0.9733
Si 0.4099 0.4099 0.3167
Si 0.5874 0.5874 0.7783
Sr 0.2727 0.2727 0.9053

Output
The calculated volume is 21.205 A^3/atom. The calculation puts the total magnetic moment at 0.000 μB/f.u.

=====

model Q has the most favorable energy; the next structure is 144 meV/atom above.

=====

Model P:
A plane-wave DFT calculation with PBE-GGA was carried out for SrSi2Tc after structural relaxation.

a = 4.3273 Å, b = 4.3273 Å, c = 5.9145 Å
α = 71.94°, β = 71.94°, γ = 53.56°
Element x y z (fractional)
Tc 0.2500 0.2500 0.2500
Si 0.5377 0.5377 0.3552
Si 0.9623 0.9623 0.1448
Sr 0.7500 0.7500 0.7500

Output
The calculated volume is 20.889 A^3/atom. The calculation puts the total magnetic moment at 0.000 μB/f.u.

=====

Model Q:
A plane-wave DFT calculation with PBE-GGA was carried out for SrSi2Tc after structural relaxation.

a = 5.7148 Å, b = 5.7148 Å, c = 5.7148 Å
α = 148.28°, β = 127.93°, γ = 62.27°
Last column: magnetic moment on the atom in μB.
Element x y z (fractional)
Sr 0.4918 0.4918 0.0000  0.01
Tc 0.2052 0.7052 0.5000  0.62
Si 0.0135 0.0135 0.0000  -0.01
Si 0.7895 0.2895 0.5000  -0.01

Output
The calculated volume is 19.162 A^3/atom. The calculation puts the total magnetic moment at 0.684 μB/f.u.

=====

model P has the most favorable energy; the next structure is 731 meV/atom above.

=====

Model P:
A plane-wave DFT calculation with PBE-GGA was carried out for SrSi2Tc after structural relaxation.

a = 3.7503 Å, b = 3.2549 Å, c = 6.7674 Å
α = 76.16°, β = 90.00°, γ = 90.00°
Element x y z (fractional)
Si 0.5000 0.0951 0.1851
Si 0.0000 0.2103 0.9532
Sr 0.0000 0.4533 0.4705
Tc 0.5000 0.7413 0.8912

Output
The calculated volume is 20.052 A^3/atom. The calculation puts the total magnetic moment at 0.000 μB/f.u.

=====

Model Q:
A plane-wave DFT calculation with PBE-GGA was carried out for SrSi2Tc after structural relaxation.

a = 3.2880 Å, b = 3.2880 Å, c = 7.1314 Å
α = 90.00°, β = 90.00°, γ = 90.00°
Element x y z (fractional)
Tc 0.5000 0.5000 0.8466
Si 0.5000 0.5000 0.1798
Si 0.0000 0.0000 0.9699
Sr 0.0000 0.0000 0.5037

Output
The calculated volume is 19.274 A^3/atom. The calculation puts the total magnetic moment at 0.000 μB/f.u.

=====

Model R:
A plane-wave DFT calculation with PBE-GGA was carried out for SrSi2Tc after structural relaxation.

a = 5.6975 Å, b = 5.6975 Å, c = 5.6975 Å
α = 148.48°, β = 117.69°, γ = 71.51°
Element x y z (fractional)
Si 0.4517 0.4517 0.0000
Si 0.0483 0.0483 0.0000
Tc 0.2500 0.7500 0.5000
Sr 0.7500 0.2500 0.5000

Output
The calculated volume is 21.089 A^3/atom. The calculation puts the total magnetic moment at 0.000 μB/f.u.

=====

model P has the most favorable energy; the next structure is 49 meV/atom above.

=====

Model P:
A plane-wave DFT calculation with PBE-GGA was carried out for SrSi2Tc after structural relaxation.

a = 4.6566 Å, b = 4.6566 Å, c = 4.6566 Å
α = 60.00°, β = 60.00°, γ = 60.00°
Element x y z (fractional)
Si 0.2500 0.2500 0.2500
Si 0.7500 0.7500 0.7500
Tc 0.5000 0.5000 0.5000
Sr 0.0000 0.0000 0.0000

Output
The calculated volume is 17.850 A^3/atom. The calculation puts the total magnetic moment at 0.000 μB/f.u.

=====

Model Q:
A plane-wave DFT calculation with PBE-GGA was carried out for SrSi2Tc after structural relaxation.

a = 5.1866 Å, b = 5.1866 Å, c = 8.4584 Å
α = 72.15°, β = 72.15°, γ = 90.00°
Element x y z (fractional)
Si 0.8755 0.6250 0.2500
Si 0.8745 0.1250 0.2500
Si 0.3750 0.1255 0.7500
Si 0.8750 0.1245 0.7500
Tc 0.0000 0.0000 0.0000
Tc 0.7500 0.2500 0.5000
Sr 0.2500 0.7500 0.5000
Sr 0.5000 0.5000 0.0000

Output
The calculated volume is 25.629 A^3/atom. The calculation puts the total magnetic moment at 0.000 μB/f.u.

=====

Model R:
A plane-wave DFT calculation with PBE-GGA was carried out for SrSi2Tc after structural relaxation.

a = 4.6780 Å, b = 4.6780 Å, c = 4.6780 Å
α = 60.00°, β = 60.00°, γ = 60.00°
Element x y z (fractional)
Si 0.2500 0.2500 0.2500
Si 0.0000 0.0000 0.0000
Sr 0.5000 0.5000 0.5000
Tc 0.7500 0.7500 0.7500

Output
The calculated volume is 18.097 A^3/atom. The calculation puts the total magnetic moment at 0.000 μB/f.u.

=====

model Q has the most favorable energy; the next structure is 457 meV/atom above.

=====

Model P:
A plane-wave DFT calculation with PBE-GGA was carried out for SrSiTc after structural relaxation.

a = 6.0522 Å, b = 6.0522 Å, c = 3.3593 Å
α = 73.89°, β = 73.89°, γ = 32.23°
Element x y z (fractional)
Sr 0.3333 0.3333 0.6667
Si 0.0533 0.0533 0.9467
Tc 0.6134 0.6134 0.3866

Output
The calculated volume is 20.939 A^3/atom. The calculation puts the total magnetic moment at 0.000 μB/f.u.

=====

Model Q:
A plane-wave DFT calculation with PBE-GGA was carried out for SrSiTc after structural relaxation.

a = 4.2314 Å, b = 4.2314 Å, c = 8.4280 Å
α = 90.00°, β = 90.00°, γ = 90.00°
Element x y z (fractional)
Si 0.5000 0.0000 0.6436
Si 0.0000 0.5000 0.3564
Tc 0.5000 0.5000 0.5000
Tc 0.0000 0.0000 0.5000
Sr 0.5000 0.0000 0.1930
Sr 0.0000 0.5000 0.8070

Output
The calculated volume is 25.151 A^3/atom. The calculation puts the total magnetic moment at 0.000 μB/f.u.

=====

Model R:
A plane-wave DFT calculation with PBE-GGA was carried out for SrSiTc after structural relaxation.

a = 4.1277 Å, b = 4.1277 Å, c = 4.8029 Å
α = 90.00°, β = 90.00°, γ = 120.00°
Last column: magnetic moment on the atom in μB.
Element x y z (fractional)
Tc 0.3333 0.6667 0.8334  0.13
Si 0.0000 0.0000 0.8332  -0.01
Sr 0.6667 0.3333 0.3334  0.00

Output
The calculated volume is 23.623 A^3/atom. The calculation puts the total magnetic moment at 0.132 μB/f.u.

=====

model Q has the most favorable energy; the next structure is 261 meV/atom above.